TiWNO2: relaxed, PBE+U.

Lattice parameters (Å, degrees): 3.9785 3.9785 4.0004 90.00 90.00 90.00
Sites, in units of the cell vectors:
Ti 0.0000 0.0000 0.0000
W 0.5000 0.5000 0.5000
N 0.5000 0.5000 0.0000
O 0.0000 0.5000 0.5000
O 0.5000 0.0000 0.5000

Properties
Total DFT energy (no corrections), eV/atom: -7.512
SG: P4/mmm
Fermi-level density of states, states/eV/atom: 0.64